# 1
DFT (PBE-GGA) results for a relaxed Ac7Ge3 crystal.

Summary:
Its crystal system is hexagonal. The value obtained for the energy of formation from the pure elements is -0.4817 eV per atom. The calculation puts the raw total energy at -4.743 eV/atom. The total magnetization comes out at 0.00 Bohr magnetons per cell.

Cell lengths 11.0078, 11.0078, 7.0218 Å; angles 90.00, 90.00, 120.00 degrees
Space group P6_3mc (No. 186)
Inequivalent atoms, fractional coordinates:
Ac: 0.0780 0.5390 0.0000 (multiplicity 6)
Ac: 0.1233 0.2466 0.2834 (multiplicity 6)
Ac: 0.3333 0.6667 0.4604 (multiplicity 2)
Ge: 0.1910 0.3820 0.7125 (multiplicity 6)

***

# 2
DFT (PBE-GGA) results for a relaxed Li4MgGa5 crystal.

Summary:
Its crystal system is tetragonal. The value obtained for the energy of formation from the pure elements is -0.2462 eV per atom. The calculation puts the raw total energy at -2.685 eV/atom. The total magnetization comes out at 0.00 Bohr magnetons per cell.

Cell lengths 3.246, 3.246, 15.400 Å; angles 90.00, 90.00, 90.00 degrees
Space group P4/mmm (No. 123)
Inequivalent atoms, fractional coordinates:
Li: 0.000 0.000 0.096 (multiplicity 2)
Li: 0.000 0.000 0.288 (multiplicity 2)
Mg: 0.000 0.000 0.500 (multiplicity 1)
Ga: 0.500 0.500 0.000 (multiplicity 1)
Ga: 0.500 0.500 0.191 (multiplicity 2)
Ga: 0.500 0.500 0.383 (multiplicity 2)

***

# 3
DFT (PBE-GGA) results for a relaxed BeTe2Cl crystal.

Summary:
Its crystal system is orthorhombic. The value obtained for the energy above the most stable polymorph in this dataset is 0.4848 eV/atom. The calculation puts the raw total energy at -2.833 eV/atom. The total magnetization comes out at 0.00 Bohr magnetons per cell. The calculation puts the formation energy from raw total energies at 0.1309 eV per atom.

Cell lengths 3.634, 5.243, 10.205 Å; angles 90.00, 90.00, 90.00 degrees
Space group Immm (No. 71)
Inequivalent atoms, fractional coordinates:
Be: 0.000 0.000 0.000 (multiplicity 2)
Te: 0.000 0.500 0.330 (multiplicity 4)
Cl: 0.000 0.000 0.500 (multiplicity 2)

***

# 4
DFT (PBE-GGA) results for a relaxed Fe2Ru crystal.

Summary:
Its crystal system is orthorhombic. The value obtained for the energy of formation from the pure elements is 0.1474 eV per atom. The calculation puts the raw total energy at -8.586 eV/atom. The total magnetization comes out at 5.75 Bohr magnetons per cell.

Cell lengths 2.603, 3.611, 7.659 Å; angles 90.00, 90.00, 90.00 degrees
Space group Immm (No. 71)
Inequivalent atoms, fractional coordinates:
Fe: 0.000 0.000 0.168 (multiplicity 4)
Ru: 0.000 0.000 0.500 (multiplicity 2)

***

# 5
DFT (PBE-GGA) results for a relaxed HoEr2Mg crystal.

Summary:
Its crystal system is tetragonal. The value obtained for the energy of formation from the pure elements is -0.0237 eV per atom. The value obtained for the energy above the most stable polymorph in this dataset is 0.0037 eV/atom. The calculation puts the raw total energy at -3.848 eV/atom. The total magnetization comes out at 0.00 Bohr magnetons per cell.

Cell lengths 3.538, 3.538, 9.252 Å; angles 90.00, 90.00, 90.00 degrees
Space group P4/mmm (No. 123)
Inequivalent atoms, fractional coordinates:
Ho: 0.000 0.000 0.000 (multiplicity 1)
Er: 0.500 0.500 0.262 (multiplicity 2)
Mg: 0.000 0.000 0.500 (multiplicity 1)